(1)
First-principles (PBE) data for a relaxed structure of TbNi2Hg, as listed in Alexandria.

Geometry as POSCAR:
```
TbNi2Hg
1.0
0.000 3.254 3.254
3.254 0.000 3.254
3.254 3.254 0.000
Tb Ni Hg
1 2 1
Direct
0.000 0.000 0.000
0.250 0.250 0.250
0.750 0.750 0.750
0.500 0.500 0.500
```

Values from the calculation:
volume = 17.23 Å³/atom
magnetization = 0.00 Bohr magnetons per cell
space-group type = Fm-3m
DFT formation energy = -0.227 eV per atom


(2)
First-principles (PBE) data for a relaxed structure of Tb4NiHg, as listed in Alexandria.

Geometry as POSCAR:
```
Tb4NiHg
1.0
0.000 6.756 6.756
6.756 0.000 6.756
6.756 6.756 0.000
Tb Ni Hg
16 4 4
Direct
0.060 0.060 0.440
0.060 0.440 0.060
0.060 0.440 0.440
0.187 0.187 0.813
0.187 0.813 0.187
0.187 0.813 0.813
0.200 0.600 0.600
0.440 0.060 0.060
0.440 0.060 0.440
0.440 0.440 0.060
0.600 0.200 0.600
0.600 0.600 0.200
0.600 0.600 0.600
0.813 0.187 0.187
0.813 0.187 0.813
0.813 0.813 0.187
0.393 0.393 0.393
0.393 0.393 0.822
0.393 0.822 0.393
0.822 0.393 0.393
0.495 0.835 0.835
0.835 0.495 0.835
0.835 0.835 0.495
0.835 0.835 0.835
```

Values from the calculation:
offset from the most stable computed form = 0 meV per atom
volume = 25.69 Å³/atom
magnetization = 0.00 Bohr magnetons per cell
space-group type = F-43m
DFT formation energy = -0.344 eV per atom


(3)
First-principles (PBE) data for a relaxed structure of Tb5Ni2Hg, as listed in Alexandria.

Geometry as POSCAR:
```
Tb5Ni2Hg
1.0
-3.866 3.866 6.572
3.866 -3.866 6.572
3.866 3.866 -6.572
Tb Ni Hg
10 4 2
Direct
0.000 0.000 0.000
0.025 0.525 0.821
0.204 0.025 0.500
0.296 0.796 0.821
0.475 0.296 0.500
0.500 0.500 0.000
0.525 0.704 0.500
0.704 0.204 0.179
0.796 0.975 0.500
0.975 0.475 0.179
0.126 0.374 0.500
0.374 0.874 0.249
0.626 0.126 0.751
0.874 0.626 0.500
0.250 0.250 0.000
0.750 0.750 0.000
```

Values from the calculation:
volume = 24.56 Å³/atom
magnetization = 0.00 Bohr magnetons per cell
space-group type = I4/mcm
DFT formation energy = -0.351 eV per atom